First-principles (PBE with a Hubbard U) data for a geometry-optimized MnVN2O structure, as listed in Alexandria via LeMat-Bulk.

It has space group P4/mmm (No. 123), with a = 3.7677 Å, b = 3.7677 Å, c = 3.6817 Å, α = 90.00°, β = 90.00° and γ = 90.00°. Symmetry generates all atoms from Mn at (0.0000, 0.0000, 0.0000), V at (0.5000, 0.5000, 0.5000), N at (0.0000, 0.5000, 0.0000) and O at (0.0000, 0.0000, 0.5000).

For the density of states at the Fermi level, the calculation gives 1.034 states/eV per cell. For the total energy, the calculation gives -6.699 eV per atom.